The following is a SCAN calculation of a PBEsol-optimized structure of MgCuCl3, from Alexandria via LeMat-Bulk.

## Properties
Total magnetization ... 0.0 μB/f.u.
DOS at the Fermi energy ... 1.8 states/eV/f.u.
SG ... No. 221
Uncorrected formation energy ... -71.0 kJ per mole of atoms

Lattice parameters (Å, degrees): 4.6529 4.6529 4.6529 90.00 90.00 90.00
Element x y z (fractional)
Mg 0.0000 0.0000 0.0000
Cu 0.5000 0.5000 0.5000
Cl 0.0000 0.5000 0.5000
Cl 0.5000 0.0000 0.5000
Cl 0.5000 0.5000 0.0000

The following is a SCAN calculation of a PBEsol-optimized structure of Co9Cu3O16, from Alexandria via LeMat-Bulk.

## Properties
Total magnetization ... 6.1 μB/f.u.
DOS at the Fermi energy ... 17.1 states/eV/f.u.
SG ... No. 115
Uncorrected formation energy ... -130.1 kJ per mole of atoms

Lattice parameters (Å, degrees): 5.6483 5.6483 7.9988 90.00 90.00 90.00
Element x y z (fractional)
Co 0.0000 0.0000 0.0000
Co 0.0000 0.2497 0.3747
Co 0.0000 0.7503 0.3747
Co 0.2497 0.0000 0.6253
Co 0.2507 0.5000 0.1243
Co 0.5000 0.2507 0.8757
Co 0.5000 0.7493 0.8757
Co 0.7493 0.5000 0.1243
Co 0.7503 0.0000 0.6253
Cu 0.0000 0.5000 0.7484
Cu 0.5000 0.0000 0.2516
Cu 0.5000 0.5000 0.5000
O 0.0000 0.2215 0.6097
O 0.0000 0.2732 0.1357
O 0.0000 0.7268 0.1357
O 0.0000 0.7785 0.6097
O 0.2215 0.0000 0.3903
O 0.2209 0.5000 0.3591
O 0.2732 0.0000 0.8643
O 0.2789 0.5000 0.8889
O 0.5000 0.2209 0.6409
O 0.5000 0.2789 0.1111
O 0.5000 0.7211 0.1111
O 0.5000 0.7791 0.6409
O 0.7211 0.5000 0.8889
O 0.7268 0.0000 0.8643
O 0.7785 0.0000 0.3903
O 0.7791 0.5000 0.3591

The following is a SCAN calculation of a PBEsol-optimized structure of CsTlBr2, from Alexandria via LeMat-Bulk.

## Properties
Total magnetization ... 0.0 μB/f.u.
DOS at the Fermi energy ... 0.0 states/eV/f.u.
SG ... No. 122
Uncorrected formation energy ... -125.8 kJ per mole of atoms

Lattice parameters (Å, degrees): 7.6688 7.6688 15.1122 90.00 90.00 90.00
Element x y z (fractional)
Cs 0.0000 0.0000 0.0000
Cs 0.0000 0.5000 0.2500
Cs 0.5000 0.0000 0.7500
Cs 0.5000 0.5000 0.5000
Tl 0.0000 0.0000 0.5000
Tl 0.0000 0.5000 0.7500
Tl 0.5000 0.0000 0.2500
Tl 0.5000 0.5000 0.0000
Br 0.2137 0.2500 0.6250
Br 0.2500 0.7137 0.8750
Br 0.2500 0.7863 0.3750
Br 0.2863 0.2500 0.1250
Br 0.7137 0.7500 0.1250
Br 0.7500 0.2137 0.3750
Br 0.7500 0.2863 0.8750
Br 0.7863 0.7500 0.6250

The following is a SCAN calculation of a PBEsol-optimized structure of CaP2Os, from Alexandria via LeMat-Bulk.

## Properties
Total magnetization ... 0.0 μB/f.u.
DOS at the Fermi energy ... 2.2 states/eV/f.u.
SG ... No. 123
Distance to the lowest polymorph of the same formula ... 0.0 kJ per mole of atoms
Formation enthalpy at 0 K ... -3.96 kcal/mol of atoms

Lattice parameters (Å, degrees): 3.0042 3.0042 6.8875 90.00 90.00 90.00
Element x y z (fractional)
Ca 0.0000 0.0000 0.0000
P 0.5000 0.5000 0.2950
P 0.5000 0.5000 0.7050
Os 0.0000 0.0000 0.5000

The following is a SCAN calculation of a PBEsol-optimized structure of BeAg2Pt, from Alexandria via LeMat-Bulk.

## Properties
Total magnetization ... 0.0 μB/f.u.
DOS at the Fermi energy ... 1.1 states/eV/f.u.
SG ... No. 47
Formation enthalpy at 0 K ... 1.73 kcal/mol of atoms

Lattice parameters (Å, degrees): 2.7825 3.7725 5.4915 90.00 90.00 90.00
Element x y z (fractional)
Be 0.0000 0.0000 0.0000
Ag 0.5000 0.5000 0.2359
Ag 0.5000 0.5000 0.7641
Pt 0.0000 0.0000 0.5000

The following is a SCAN calculation of a PBEsol-optimized structure of K2PtSe, from Alexandria via LeMat-Bulk.

## Properties
Total magnetization ... 0.4 μB/f.u.
DOS at the Fermi energy ... 1.7 states/eV/f.u.
SG ... No. 47
Uncorrected formation energy ... -26.3 kJ per mole of atoms

Lattice parameters (Å, degrees): 2.7413 5.9259 6.3867 90.00 90.00 90.00
Element x y z (fractional)
K 0.0000 0.0000 0.0000
K 0.5000 0.5000 0.5000
Pt 0.0000 0.0000 0.5000
Se 0.5000 0.5000 0.0000

The following is a SCAN calculation of a PBEsol-optimized structure of MnInSb2, from Alexandria via LeMat-Bulk.

## Properties
Total magnetization ... 4.4 μB/f.u.
DOS at the Fermi energy ... 1.9 states/eV/f.u.
SG ... No. 12
Uncorrected formation energy ... 8.0 kJ per mole of atoms

Lattice parameters (Å, degrees): 6.0567 8.0025 4.1994 90.00 109.43 90.00
Element x y z (fractional)
Mn 0.0000 0.0000 0.0000
Mn 0.5000 0.5000 0.0000
In 0.0000 0.5000 0.0000
In 0.5000 0.0000 0.0000
Sb 0.2500 0.2500 0.5000
Sb 0.2500 0.7500 0.5000
Sb 0.7500 0.2500 0.5000
Sb 0.7500 0.7500 0.5000

The following is a SCAN calculation of a PBEsol-optimized structure of LiZrAu3, from Alexandria via LeMat-Bulk.

## Properties
Total magnetization ... 0.0 μB/f.u.
DOS at the Fermi energy ... 3.9 states/eV/f.u.
SG ... No. 221
Distance to the lowest polymorph of the same formula ... 0.0 kJ per mole of atoms
Formation enthalpy at 0 K ... -3.38 kcal/mol of atoms

Lattice parameters (Å, degrees): 4.4181 4.4181 4.4181 90.00 90.00 90.00
Element x y z (fractional)
Li 0.0000 0.0000 0.0000
Zr 0.5000 0.5000 0.5000
Au 0.0000 0.0000 0.5000
Au 0.0000 0.5000 0.0000
Au 0.5000 0.0000 0.0000

The following is a SCAN calculation of a PBEsol-optimized structure of BaCa2In2, from Alexandria via LeMat-Bulk.

## Properties
Total magnetization ... 0.1 μB/f.u.
DOS at the Fermi energy ... 4.6 states/eV/f.u.
SG ... No. 139
Distance to the lowest polymorph of the same formula ... 0.0 kJ per mole of atoms
Formation enthalpy at 0 K ... -10.19 kcal/mol of atoms

Lattice parameters (Å, degrees): 5.1106 5.1106 13.7138 90.00 90.00 90.00
Element x y z (fractional)
Ba 0.0000 0.0000 0.0000
Ba 0.5000 0.5000 0.5000
Ca 0.0000 0.5000 0.2500
Ca 0.0000 0.5000 0.7500
Ca 0.5000 0.0000 0.2500
Ca 0.5000 0.0000 0.7500
In 0.0000 0.0000 0.3983
In 0.0000 0.0000 0.6017
In 0.5000 0.5000 0.1017
In 0.5000 0.5000 0.8983

The following is a SCAN calculation of a PBEsol-optimized structure of AlCdAu2, from Alexandria via LeMat-Bulk.

## Properties
Total magnetization ... 0.0 μB/f.u.
DOS at the Fermi energy ... 1.0 states/eV/f.u.
SG ... No. 99
Distance to the lowest polymorph of the same formula ... 7.6 kJ per mole of atoms
Formation enthalpy at 0 K ... -7.46 kcal/mol of atoms

Lattice parameters (Å, degrees): 3.5565 3.5565 5.5534 90.00 90.00 90.00
Element x y z (fractional)
Al 0.0000 0.0000 0.0000
Cd 0.5000 0.5000 0.6977
Au 0.0000 0.0000 0.4801
Au 0.5000 0.5000 0.1873

The following is a SCAN calculation of a PBEsol-optimized structure of ZnP2Rh, from Alexandria via LeMat-Bulk.

## Properties
Total magnetization ... 0.0 μB/f.u.
DOS at the Fermi energy ... 2.7 states/eV/f.u.
SG ... No. 216
Formation enthalpy at 0 K ... 8.84 kcal/mol of atoms

Lattice parameters (Å, degrees): 6.0262 6.0262 6.0262 90.00 90.00 90.00
Element x y z (fractional)
Zn 0.0000 0.0000 0.0000
Zn 0.0000 0.5000 0.5000
Zn 0.5000 0.0000 0.5000
Zn 0.5000 0.5000 0.0000
P 0.0000 0.0000 0.5000
P 0.0000 0.5000 0.0000
P 0.2500 0.2500 0.2500
P 0.2500 0.7500 0.7500
P 0.5000 0.0000 0.0000
P 0.5000 0.5000 0.5000
P 0.7500 0.2500 0.7500
P 0.7500 0.7500 0.2500
Rh 0.2500 0.2500 0.7500
Rh 0.2500 0.7500 0.2500
Rh 0.7500 0.2500 0.2500
Rh 0.7500 0.7500 0.7500

The following is a SCAN calculation of a PBEsol-optimized structure of K2HgSe2, from Alexandria via LeMat-Bulk.

## Properties
Total magnetization ... 0.0 μB/f.u.
DOS at the Fermi energy ... 2.4 states/eV/f.u.
SG ... No. 139
Uncorrected formation energy ... -49.1 kJ per mole of atoms

Lattice parameters (Å, degrees): 3.9934 3.9934 19.5570 90.00 90.00 90.00
Element x y z (fractional)
K 0.0000 0.0000 0.1198
K 0.0000 0.0000 0.8802
K 0.5000 0.5000 0.3802
K 0.5000 0.5000 0.6198
Hg 0.0000 0.0000 0.5000
Hg 0.5000 0.5000 0.0000
Se 0.0000 0.5000 0.2500
Se 0.0000 0.5000 0.7500
Se 0.5000 0.0000 0.2500
Se 0.5000 0.0000 0.7500

The following is a SCAN calculation of a PBEsol-optimized structure of BeInP2, from Alexandria via LeMat-Bulk.

## Properties
Total magnetization ... 0.0 μB/f.u.
DOS at the Fermi energy ... 1.6 states/eV/f.u.
SG ... No. 115
Formation enthalpy at 0 K ... -2.76 kcal/mol of atoms

Lattice parameters (Å, degrees): 3.6984 3.6984 5.6702 90.00 90.00 90.00
Element x y z (fractional)
Be 0.0000 0.0000 0.0000
In 0.5000 0.5000 0.5000
P 0.0000 0.5000 0.8058
P 0.5000 0.0000 0.1942

The following is a SCAN calculation of a PBEsol-optimized structure of TlSiSe, from Alexandria via LeMat-Bulk.

## Properties
Total magnetization ... 0.0 μB/f.u.
DOS at the Fermi energy ... 2.3 states/eV/f.u.
SG ... No. 216
Distance to the lowest polymorph of the same formula ... 59.6 kJ per mole of atoms
Uncorrected formation energy ... 64.9 kJ per mole of atoms

Lattice parameters (Å, degrees): 6.8376 6.8376 6.8376 90.00 90.00 90.00
Element x y z (fractional)
Tl 0.0000 0.0000 0.0000
Tl 0.0000 0.5000 0.5000
Tl 0.5000 0.0000 0.5000
Tl 0.5000 0.5000 0.0000
Si 0.0000 0.0000 0.5000
Si 0.0000 0.5000 0.0000
Si 0.5000 0.0000 0.0000
Si 0.5000 0.5000 0.5000
Se 0.2500 0.2500 0.7500
Se 0.2500 0.7500 0.2500
Se 0.7500 0.2500 0.2500
Se 0.7500 0.7500 0.7500

The following is a SCAN calculation of a PBEsol-optimized structure of Zn2PW, from Alexandria via LeMat-Bulk.

## Properties
Total magnetization ... 0.0 μB/f.u.
DOS at the Fermi energy ... 1.5 states/eV/f.u.
SG ... No. 139
Formation enthalpy at 0 K ... 5.48 kcal/mol of atoms

Lattice parameters (Å, degrees): 3.5122 3.5122 8.9065 90.00 90.00 90.00
Element x y z (fractional)
Zn 0.0000 0.5000 0.2500
Zn 0.0000 0.5000 0.7500
Zn 0.5000 0.0000 0.2500
Zn 0.5000 0.0000 0.7500
P 0.0000 0.0000 0.0000
P 0.5000 0.5000 0.5000
W 0.0000 0.0000 0.5000
W 0.5000 0.5000 0.0000

The following is a SCAN calculation of a PBEsol-optimized structure of NbZn3Ga3, from Alexandria via LeMat-Bulk.

## Properties
Total magnetization ... 0.0 μB/f.u.
DOS at the Fermi energy ... 1.5 states/eV/f.u.
SG ... No. 166
Formation enthalpy at 0 K ... -5.17 kcal/mol of atoms

Lattice parameters (Å, degrees): 5.5431 5.5431 5.5431 58.12 58.12 58.12
Element x y z (fractional)
Nb 0.0000 0.0000 0.0000
Zn 0.0000 0.0000 0.5000
Zn 0.0000 0.5000 0.0000
Zn 0.5000 0.0000 0.0000
Ga 0.0000 0.5000 0.5000
Ga 0.5000 0.0000 0.5000
Ga 0.5000 0.5000 0.0000

The following is a SCAN calculation of a PBEsol-optimized structure of TaZnCl3, from Alexandria via LeMat-Bulk.

## Properties
Total magnetization ... 0.0 μB/f.u.
DOS at the Fermi energy ... 1.9 states/eV/f.u.
SG ... No. 221
Distance to the lowest polymorph of the same formula ... 0.0 kJ per mole of atoms
Uncorrected formation energy ... -42.5 kJ per mole of atoms

Lattice parameters (Å, degrees): 4.8171 4.8171 4.8171 90.00 90.00 90.00
Element x y z (fractional)
Ta 0.0000 0.0000 0.0000
Zn 0.5000 0.5000 0.5000
Cl 0.0000 0.0000 0.5000
Cl 0.0000 0.5000 0.0000
Cl 0.5000 0.0000 0.0000

The following is a SCAN calculation of a PBEsol-optimized structure of AlSb2Pt, from Alexandria via LeMat-Bulk.

## Properties
Total magnetization ... 0.0 μB/f.u.
DOS at the Fermi energy ... 2.3 states/eV/f.u.
SG ... No. 44
Uncorrected formation energy ... -6.3 kJ per mole of atoms

Lattice parameters (Å, degrees): 3.3366 4.5057 11.4385 90.00 90.00 90.00
Element x y z (fractional)
Al 0.0000 0.0000 0.0000
Al 0.5000 0.5000 0.5000
Sb 0.0000 0.0000 0.3843
Sb 0.0000 0.5000 0.1863
Sb 0.5000 0.0000 0.6863
Sb 0.5000 0.5000 0.8843
Pt 0.0000 0.5000 0.6707
Pt 0.5000 0.0000 0.1707

The following is a SCAN calculation of a PBEsol-optimized structure of CdTePb6O10, from Alexandria via LeMat-Bulk.

## Properties
Total magnetization ... 0.0 μB/f.u.
DOS at the Fermi energy ... 0.0 states/eV/f.u.
SG ... No. 20
Uncorrected formation energy ... -116.9 kJ per mole of atoms

Lattice parameters (Å, degrees): 7.3612 7.3612 11.3110 90.00 90.00 103.09
Element x y z (fractional)
Cd 0.0781 0.9219 0.7500
Cd 0.9219 0.0781 0.2500
Te 0.1768 0.1768 0.0000
Te 0.8232 0.8232 0.5000
Pb 0.0055 0.5798 0.2599
Pb 0.2037 0.2037 0.5000
Pb 0.2766 0.7148 0.9864
Pb 0.2852 0.7234 0.5136
Pb 0.4202 0.9945 0.2401
Pb 0.4885 0.5115 0.2500
Pb 0.5115 0.4885 0.7500
Pb 0.5798 0.0055 0.7401
Pb 0.7148 0.2766 0.0136
Pb 0.7234 0.2852 0.4864
Pb 0.7963 0.7963 0.0000
Pb 0.9945 0.4202 0.7599
O 0.0227 0.6781 0.8723
O 0.0295 0.3140 0.0937
O 0.0417 0.9159 0.3963
O 0.0841 0.9583 0.1037
O 0.2518 0.3907 0.8944
O 0.2543 0.4861 0.6492
O 0.3140 0.0295 0.9063
O 0.3219 0.9773 0.6277
O 0.3907 0.2518 0.1056
O 0.4861 0.2543 0.3508
O 0.5139 0.7457 0.8508
O 0.6093 0.7482 0.6056
O 0.6781 0.0227 0.1277
O 0.6860 0.9705 0.4063
O 0.7457 0.5139 0.1492
O 0.7482 0.6093 0.3944
O 0.9159 0.0417 0.6037
O 0.9583 0.0841 0.8963
O 0.9705 0.6860 0.5937
O 0.9773 0.3219 0.3723

The following is a SCAN calculation of a PBEsol-optimized structure of MnFe2Co, from Alexandria via LeMat-Bulk.

## Properties
Total magnetization ... 8.1 μB/f.u.
DOS at the Fermi energy ... 2.8 states/eV/f.u.
SG ... No. 216
Formation enthalpy at 0 K ... -1.28 kcal/mol of atoms

Lattice parameters (Å, degrees): 5.5760 5.5760 5.5760 90.00 90.00 90.00
Element x y z (fractional)
Mn 0.0000 0.0000 0.0000
Mn 0.0000 0.5000 0.5000
Mn 0.5000 0.0000 0.5000
Mn 0.5000 0.5000 0.0000
Fe 0.0000 0.0000 0.5000
Fe 0.0000 0.5000 0.0000
Fe 0.2500 0.2500 0.2500
Fe 0.2500 0.7500 0.7500
Fe 0.5000 0.0000 0.0000
Fe 0.5000 0.5000 0.5000
Fe 0.7500 0.2500 0.7500
Fe 0.7500 0.7500 0.2500
Co 0.2500 0.2500 0.7500
Co 0.2500 0.7500 0.2500
Co 0.7500 0.2500 0.2500
Co 0.7500 0.7500 0.7500

What are the E_tot values for these records? In order: -9.5568 -12.1002 -38.5763 -25.7571 -34.2453 -27.0046 -31.4581 -48.2587 -25.5717 -44.4434 -16.6375 -25.5047 -14.7541 -33.4786 -26.5414 -17.7549 -21.2472 -38.1823 -33.6925 -18.0102 eV per atom.